[1]
## NaGeSb5O (GGA-PBE)

Data for an optimized crystal structure of NaGeSb5O.

## Properties
uncorrected formation energy	-0.121	eV per atom
magnetization	0.0	μB per formula unit

Cell lengths 7.7937, 13.7945, 8.2823 Å; angles 90.00, 110.05, 90.00 degrees
Last column: nearest neighbours and their distance in Å.
Space group C2/c (No. 15)
Unique sites:
Na: 0.0000 0.1340 0.2500 (multiplicity 4)  1 O 2.26
Ge: 0.2500 0.2500 0.0000 (multiplicity 4)  6 Sb 2.88-3.06
Sb: 0.0000 0.1069 0.7500 (multiplicity 4)  2 Ge 3.04, 2 Sb 3.19, 1 Na 3.32
Sb: 0.0781 0.3449 0.4987 (multiplicity 8)  1 O 2.04
Sb: 0.2023 0.4640 0.8978 (multiplicity 8)  4 Sb 3.02-3.26, 1 Ge 3.06, 1 Na 3.26
O: 0.0000 0.2975 0.2500 (multiplicity 4)  2 Sb 2.04, 1 Na 2.26



[2]
## CeScS3 (GGA-PBE)

Data for an optimized crystal structure of CeScS3.

## Properties
uncorrected formation energy	-1.946	eV per atom
magnetization	0.9	μB per formula unit
polymorph energy (0 for the lowest one)	1.9	kJ/mol of atoms

Cell lengths 8.0549, 3.8083, 13.8999 Å; angles 90.00, 90.00, 90.00 degrees
Last column: nearest neighbours and their distance in Å.
Space group Pnma (No. 62)
Unique sites:
Ce: 0.1240 0.2500 0.1945 (multiplicity 4)  7 S 2.85-2.99
Sc: 0.1821 0.7500 0.4565 (multiplicity 4)  6 S 2.58-2.60
S: 0.0000 0.2500 0.3890 (multiplicity 4)  3 Sc 2.58-2.60, 1 Ce 2.88
S: 0.1620 0.2500 0.7940 (multiplicity 4)  1 Sc 2.59
S: 0.1615 0.7500 0.0437 (multiplicity 4)  2 Sc 2.58, 2 Ce 2.85



[3]
## RbAsBr5 (GGA-PBE)

Data for an optimized crystal structure of RbAsBr5.

## Properties
uncorrected formation energy	-0.637	eV per atom
magnetization	0.0	μB per formula unit

Cell lengths 13.9564, 9.2758, 10.3634 Å; angles 90.00, 123.64, 90.00 degrees
Last column: nearest neighbours and their distance in Å.
Space group C2/c (No. 15)
Unique sites:
Rb: 0.0000 0.0388 0.2500 (multiplicity 4)  7 Br 3.51-3.85
As: 0.0000 0.5000 0.0000 (multiplicity 4)  6 Br 2.56-2.70
Br: 0.0000 0.4170 0.2500 (multiplicity 4)  2 As 2.70
Br: 0.0856 0.2435 0.0224 (multiplicity 8)  1 As 2.61
Br: 0.2026 0.3977 0.6820 (multiplicity 8)  1 As 2.56